Here is crystalline Ni2NF at its relaxed geometry from the Alexandria database. Energies are from PBE with a Hubbard U.

## Properties
Its crystal system is tetragonal. As for the raw total energy: -3.83 eV per atom.

a b c (Å): 5.457 5.457 5.457
angles (deg): 127.70 127.70 77.11
Positions (direct):
Ni1 0.074 0.625 0.949
Ni2 0.375 0.324 0.449
Ni3 0.676 0.125 0.051
Ni4 0.875 0.926 0.551
N1 0.000 0.000 0.000
N2 0.750 0.250 0.500
F1 0.250 0.750 0.500
F2 0.500 0.500 0.000